# 1
This record from the Alexandria database describes a relaxed structure of Cs2Rb3Cd2Au4. The functional is PBE.

Its theoretical density is 5.530 Mg/m³. The calculation puts the density of states at the Fermi level at 8.25 states/eV/cell. The value obtained for the formation enthalpy at 0 K is -0.16 eV per atom. As for the crystal system: tetragonal.

The space group is I4/mmm (No. 139) and the conventional cell measures 5.6565, 5.6565 and 28.8107 Å, with angles of 90.00, 90.00 and 90.00 degrees. The inequivalent atoms are Cs at (0.0000, 0.0000, 0.1778), Rb at (0.0000, 0.0000, 0.3587), Rb at (0.0000, 0.0000, 0.5000), Cd at (0.0000, 0.0000, 0.0535) and Au at (0.0000, 0.5000, 0.0798).

---

# 2
This record from the Alexandria database describes a relaxed structure of Ta2AlRh. The functional is PBE.

Its theoretical density is 12.437 Mg/m³. The calculation puts the density of states at the Fermi level at 3.49 states/eV/cell. The value obtained for the formation enthalpy at 0 K is -0.33 eV per atom. As for the crystal system: orthorhombic.

The space group is Imm2 (No. 44) and the conventional cell measures 2.9474, 4.7689 and 9.3425 Å, with angles of 90.00, 90.00 and 90.00 degrees. The inequivalent atoms are Ta at (0.0000, 0.0000, 0.0000), Ta at (0.0000, 0.5000, 0.2402), Al at (0.0000, 0.0000, 0.4693) and Rh at (0.0000, 0.5000, 0.7471).

---

# 3
This record from the Alexandria database describes a relaxed structure of Mg4CuRh2Au. The functional is PBE.

Its theoretical density is 7.372 Mg/m³. The calculation puts the density of states at the Fermi level at 12.25 states/eV/cell. The value obtained for the formation enthalpy at 0 K is -0.44 eV per atom. As for the crystal system: trigonal.

The space group is R-3m (No. 166, hexagonal axes) and the conventional cell measures 4.4755, 4.4755 and 21.9539 Å, with angles of 90.00, 90.00 and 120.00 degrees. The inequivalent atoms are Mg at (0.0000, 0.0000, 0.1230), Mg at (0.0000, 0.0000, 0.3730), Cu at (0.0000, 0.0000, 0.0000), Rh at (0.0000, 0.0000, 0.2506) and Au at (0.0000, 0.0000, 0.5000).

---

# 4
This record from the Alexandria database describes a relaxed structure of CaYSi2. The functional is PBE.

Its theoretical density is 3.425 Mg/m³. For the total energy, the calculation gives -5.219 eV/atom. The calculation puts the density of states at the Fermi level at 2.62 states/eV/cell. As for the crystal system: monoclinic.

The space group is P2/m (No. 10) and the conventional cell measures 3.2912, 4.1192 and 6.6221 Å, with angles of 90.00, 90.22 and 90.00 degrees. The inequivalent atoms are Ca at (0.0000, 0.0000, 0.0000), Y at (0.0000, 0.0000, 0.5000) and Si at (0.4996, 0.5000, 0.2847).

---

# 5
This record from the Alexandria database describes a relaxed structure of AlW3N. The functional is PBE.

Its theoretical density is 13.985 Mg/m³. For the total energy, the calculation gives -10.170 eV/atom. The calculation puts the density of states at the Fermi level at 3.09 states/eV/cell. As for the crystal system: cubic.

The space group is Pm-3m (No. 221) and the conventional cell measures 4.1282, 4.1282 and 4.1282 Å, with angles of 90.00, 90.00 and 90.00 degrees. The inequivalent atoms are Al at (0.0000, 0.0000, 0.0000), W at (0.0000, 0.5000, 0.5000) and N at (0.5000, 0.5000, 0.5000).

---

# 6
This record from the Alexandria database describes a relaxed structure of Nd5Sm2Sc2. The functional is PBE.

Its theoretical density is 6.284 Mg/m³. The calculation puts the density of states at the Fermi level at 29.32 states/eV/cell. The value obtained for the formation enthalpy at 0 K is 0.12 eV per atom. As for the crystal system: monoclinic.

The space group is C2/m (No. 12) and the conventional cell measures 20.0061, 3.4874 and 8.6301 Å, with angles of 90.00, 102.59 and 90.00 degrees. The inequivalent atoms are Nd at (0.0000, 0.0000, 0.0000), Nd at (0.1626, 0.5000, 0.9880), Nd at (0.2188, 0.0000, 0.6472), Sm at (0.0551, 0.0000, 0.6611) and Sc at (0.0996, 0.5000, 0.3465).

---

# 7
This record from the Alexandria database describes a relaxed structure of Cs3U2Se4. The functional is PBE.

Its theoretical density is 5.970 Mg/m³. For the total energy, the calculation gives -5.309 eV/atom. The calculation puts the density of states at the Fermi level at 8.84 states/eV/cell. As for the crystal system: monoclinic.

The space group is C2/m (No. 12) and the conventional cell measures 17.9636, 4.0116 and 10.6793 Å, with angles of 90.00, 120.60 and 90.00 degrees. The inequivalent atoms are Cs at (0.0000, 0.0000, 0.0000), Cs at (0.1210, 0.5000, 0.7406), U at (0.2179, 0.5000, 0.4094), Se at (0.0968, 0.0000, 0.3991) and Se at (0.1882, 0.5000, 0.1377).

---

# 8
This record from the Alexandria database describes a relaxed structure of Mn4Zn10Ga. The functional is PBE.

Its theoretical density is 6.505 Mg/m³. The calculation puts the density of states at the Fermi level at 18.08 states/eV/cell. The value obtained for the formation enthalpy at 0 K is 0.23 eV per atom. As for the crystal system: tetragonal.

The space group is I4/m (No. 87) and the conventional cell measures 7.2864, 7.2864 and 9.0740 Å, with angles of 90.00, 90.00 and 90.00 degrees. The inequivalent atoms are Mn at (0.0557, 0.6678, 0.0000), Zn at (0.0000, 0.5000, 0.2500), Zn at (0.1326, 0.7853, 0.3572) and Ga at (0.0000, 0.0000, 0.0000).

---

# 9
This record from the Alexandria database describes a relaxed structure of LaZn3Sb. The functional is PBE.

Its theoretical density is 5.541 Mg/m³. For the total energy, the calculation gives -2.307 eV/atom. The calculation puts the density of states at the Fermi level at 4.77 states/eV/cell. As for the crystal system: cubic.

The space group is Pm-3m (No. 221) and the conventional cell measures 5.1543, 5.1543 and 5.1543 Å, with angles of 90.00, 90.00 and 90.00 degrees. The inequivalent atoms are La at (0.0000, 0.0000, 0.0000), Zn at (0.0000, 0.5000, 0.5000) and Sb at (0.5000, 0.5000, 0.5000).

---

# 10
This record from the Alexandria database describes a relaxed structure of Er5PuBi6. The functional is PBE.

Its theoretical density is 10.257 Mg/m³. The calculation puts the density of states at the Fermi level at 37.33 states/eV/cell. The value obtained for the formation enthalpy at 0 K is -0.73 eV per atom. As for the crystal system: monoclinic.

The space group is C2/m (No. 12) and the conventional cell measures 7.7373, 13.3924 and 7.7359 Å, with angles of 90.00, 109.47 and 90.00 degrees. The inequivalent atoms are Er at (0.0000, 0.0000, 0.0000), Er at (0.0000, 0.1672, 0.5000), Er at (0.0000, 0.3351, 0.0000), Pu at (0.0000, 0.5000, 0.5000), Bi at (0.2466, 0.0000, 0.7505) and Bi at (0.2473, 0.1682, 0.2471).

---

# 11
This record from the Alexandria database describes a relaxed structure of La2Sn5Pd3. The functional is PBE.

Its theoretical density is 8.270 Mg/m³. The calculation puts the density of states at the Fermi level at 13.75 states/eV/cell. The value obtained for the formation enthalpy at 0 K is -0.76 eV per atom. As for the crystal system: orthorhombic.

The space group is Ibam (No. 72) and the conventional cell measures 11.0224, 13.0656 and 6.6399 Å, with angles of 90.00, 90.00 and 90.00 degrees. The inequivalent atoms are La at (0.2306, 0.1395, 0.0000), Sn at (0.0000, 0.0000, 0.2500), Sn at (0.0000, 0.2741, 0.2500), Sn at (0.1633, 0.4067, 0.0000), Pd at (0.0000, 0.5000, 0.2500) and Pd at (0.1070, 0.1398, 0.5000).

---

# 12
This record from the Alexandria database describes a relaxed structure of Pm2Si4Rh. The functional is PBE.

Its theoretical density is 5.656 Mg/m³. For the total energy, the calculation gives -6.096 eV/atom. The calculation puts the density of states at the Fermi level at 15.22 states/eV/cell. As for the crystal system: orthorhombic.

The space group is Fmmm (No. 69) and the conventional cell measures 8.0981, 8.1107 and 9.0342 Å, with angles of 90.00, 90.00 and 90.00 degrees. The inequivalent atoms are Pm at (0.2500, 0.2500, 0.2500), Si at (0.0000, 0.2089, 0.0000), Si at (0.2084, 0.0000, 0.0000) and Rh at (0.0000, 0.0000, 0.5000).

---

# 13
This record from the Alexandria database describes a relaxed structure of CaHoSiN3. The functional is PBE.

Its theoretical density is 5.980 Mg/m³. For the total energy, the calculation gives -7.198 eV/atom. The calculation puts the density of states at the Fermi level at 5.76 states/eV/cell. As for the crystal system: monoclinic.

The space group is C2/m (No. 12) and the conventional cell measures 12.4058, 3.7250 and 6.8777 Å, with angles of 90.00, 105.97 and 90.00 degrees. The inequivalent atoms are Ca at (0.1510, 0.0000, 0.0729), Ho at (0.1518, 0.0000, 0.5790), Si at (0.0023, 0.5000, 0.2559), N at (0.0035, 0.0000, 0.2674), N at (0.1483, 0.5000, 0.8135) and N at (0.1543, 0.5000, 0.3352).

---

# 14
This record from the Alexandria database describes a relaxed structure of K3Hg12Pb5. The functional is PBE.

Its theoretical density is 6.979 Mg/m³. The calculation puts the density of states at the Fermi level at 90.83 states/eV/cell. The value obtained for the formation enthalpy at 0 K is 0.08 eV per atom. As for the crystal system: cubic.

The space group is Ia-3d (No. 230) and the conventional cell measures 18.9239, 18.9239 and 18.9239 Å, with angles of 90.00, 90.00 and 90.00 degrees. The inequivalent atoms are K at (0.0000, 0.2500, 0.1250), Hg at (0.0679, 0.0706, 0.6231), Pb at (0.0000, 0.0000, 0.0000) and Pb at (0.0000, 0.2500, 0.3750).

---

# 15
This record from the Alexandria database describes a relaxed structure of Sr2GdN. The functional is PBE.

Its theoretical density is 4.516 Mg/m³. For the total energy, the calculation gives -6.665 eV/atom. The calculation puts the density of states at the Fermi level at 22.39 states/eV/cell. As for the crystal system: trigonal.

The space group is R-3m (No. 166, hexagonal axes) and the conventional cell measures 3.7286, 3.7286 and 31.7452 Å, with angles of 90.00, 90.00 and 120.00 degrees. The inequivalent atoms are Sr at (0.0000, 0.0000, 0.1225), Gd at (0.0000, 0.0000, 0.0000) and N at (0.0000, 0.0000, 0.5000).

---

# 16
This record from the Alexandria database describes a relaxed structure of CrCoAg2. The functional is PBE.

Its theoretical density is 8.740 Mg/m³. The calculation puts the density of states at the Fermi level at 12.55 states/eV/cell. The value obtained for the formation enthalpy at 0 K is 0.60 eV per atom. As for the crystal system: trigonal.

The space group is R-3m (No. 166, hexagonal axes) and the conventional cell measures 2.7903, 2.7903 and 27.6156 Å, with angles of 90.00, 90.00 and 120.00 degrees. The inequivalent atoms are Cr at (0.0000, 0.0000, 0.0000), Co at (0.0000, 0.0000, 0.5000) and Ag at (0.0000, 0.0000, 0.2481).

---

# 17
This record from the Alexandria database describes a relaxed structure of CrCdN3. The functional is PBE.

Its theoretical density is 5.211 Mg/m³. For the total energy, the calculation gives -4.312 eV/atom. The calculation puts the density of states at the Fermi level at 5.34 states/eV/cell. As for the crystal system: cubic.

The space group is Pm-3m (No. 221) and the conventional cell measures 4.0368, 4.0368 and 4.0368 Å, with angles of 90.00, 90.00 and 90.00 degrees. The inequivalent atoms are Cr at (0.0000, 0.0000, 0.0000), Cd at (0.5000, 0.5000, 0.5000) and N at (0.0000, 0.5000, 0.5000).

---

# 18
This record from the Alexandria database describes a relaxed structure of ReAuCl. The functional is PBE.

Its theoretical density is 13.992 Mg/m³. For the total energy, the calculation gives -4.856 eV/atom. The calculation puts the density of states at the Fermi level at 1.85 states/eV/cell. As for the crystal system: hexagonal.

The space group is P-6m2 (No. 187) and the conventional cell measures 4.5251, 4.5251 and 2.8016 Å, with angles of 90.00, 90.00 and 120.00 degrees. The inequivalent atoms are Re at (0.0000, 0.0000, 0.0000), Au at (0.6667, 0.3333, 0.5000) and Cl at (0.3333, 0.6667, 0.0000).